[1]
# PmFeHg | OQMD | PBE | relaxed
data_PmFeHg
_cell_length_a 6.936
_cell_length_b 6.936
_cell_length_c 6.936
_cell_angle_alpha 90.00
_cell_angle_beta 90.00
_cell_angle_gamma 90.00
_space_group_name_H-M_alt 'P 1'
_space_group_IT_number 1
loop_
_space_group_symop_operation_xyz
'x,y,z'
loop_
_atom_site_label
_atom_site_type_symbol
_atom_site_fract_x
_atom_site_fract_y
_atom_site_fract_z
Pm1 Pm 0.000 0.000 0.000
Pm2 Pm 0.000 0.500 0.500
Pm3 Pm 0.500 0.000 0.500
Pm4 Pm 0.500 0.500 0.000
Fe1 Fe 0.250 0.250 0.750
Fe2 Fe 0.250 0.750 0.250
Fe3 Fe 0.750 0.250 0.250
Fe4 Fe 0.750 0.750 0.750
Hg1 Hg 0.250 0.250 0.250
Hg2 Hg 0.250 0.750 0.750
Hg3 Hg 0.750 0.250 0.750
Hg4 Hg 0.750 0.750 0.250
# offset from the most stable computed form = 0.286 eV per atom
# ΔH_f (0 K) = 64.5 kJ/mol of atoms

=====

[2]
# PmFeHg | OQMD | PBE | relaxed
data_PmFeHg
_cell_length_a 6.823
_cell_length_b 6.823
_cell_length_c 6.823
_cell_angle_alpha 90.00
_cell_angle_beta 90.00
_cell_angle_gamma 90.00
_space_group_name_H-M_alt 'P 1'
_space_group_IT_number 1
loop_
_space_group_symop_operation_xyz
'x,y,z'
loop_
_atom_site_label
_atom_site_type_symbol
_atom_site_fract_x
_atom_site_fract_y
_atom_site_fract_z
Pm1 Pm 0.000 0.000 0.000
Pm2 Pm 0.000 0.500 0.500
Pm3 Pm 0.500 0.000 0.500
Pm4 Pm 0.500 0.500 0.000
Fe1 Fe 0.000 0.000 0.500
Fe2 Fe 0.000 0.500 0.000
Fe3 Fe 0.500 0.000 0.000
Fe4 Fe 0.500 0.500 0.500
Hg1 Hg 0.250 0.250 0.750
Hg2 Hg 0.250 0.750 0.250
Hg3 Hg 0.750 0.250 0.250
Hg4 Hg 0.750 0.750 0.750
# offset from the most stable computed form = 0.000 eV per atom
# ΔH_f (0 K) = 36.9 kJ/mol of atoms

=====

[3]
# PrFeHg | OQMD | PBE | relaxed
data_PrFeHg
_cell_length_a 6.889
_cell_length_b 6.889
_cell_length_c 6.889
_cell_angle_alpha 90.00
_cell_angle_beta 90.00
_cell_angle_gamma 90.00
_space_group_name_H-M_alt 'P 1'
_space_group_IT_number 1
loop_
_space_group_symop_operation_xyz
'x,y,z'
loop_
_atom_site_label
_atom_site_type_symbol
_atom_site_fract_x
_atom_site_fract_y
_atom_site_fract_z
Pr1 Pr 0.000 0.000 0.000
Pr2 Pr 0.000 0.500 0.500
Pr3 Pr 0.500 0.000 0.500
Pr4 Pr 0.500 0.500 0.000
Fe1 Fe 0.000 0.000 0.500
Fe2 Fe 0.000 0.500 0.000
Fe3 Fe 0.500 0.000 0.000
Fe4 Fe 0.500 0.500 0.500
Hg1 Hg 0.250 0.250 0.750
Hg2 Hg 0.250 0.750 0.250
Hg3 Hg 0.750 0.250 0.250
Hg4 Hg 0.750 0.750 0.750
# ΔH_f (0 K) = 38.9 kJ/mol of atoms

=====

[4]
# PrFeHg | OQMD | PBE | relaxed
data_PrFeHg
_cell_length_a 7.050
_cell_length_b 7.050
_cell_length_c 7.050
_cell_angle_alpha 90.00
_cell_angle_beta 90.00
_cell_angle_gamma 90.00
_space_group_name_H-M_alt 'P 1'
_space_group_IT_number 1
loop_
_space_group_symop_operation_xyz
'x,y,z'
loop_
_atom_site_label
_atom_site_type_symbol
_atom_site_fract_x
_atom_site_fract_y
_atom_site_fract_z
Pr1 Pr 0.000 0.000 0.000
Pr2 Pr 0.000 0.500 0.500
Pr3 Pr 0.500 0.000 0.500
Pr4 Pr 0.500 0.500 0.000
Fe1 Fe 0.250 0.250 0.750
Fe2 Fe 0.250 0.750 0.250
Fe3 Fe 0.750 0.250 0.250
Fe4 Fe 0.750 0.750 0.750
Hg1 Hg 0.250 0.250 0.250
Hg2 Hg 0.250 0.750 0.750
Hg3 Hg 0.750 0.250 0.750
Hg4 Hg 0.750 0.750 0.250
# ΔH_f (0 K) = 66.2 kJ/mol of atoms

=====

[5]
# Pr6Fe13Hg | OQMD | PBE | relaxed
data_Pr6Fe13Hg
_cell_length_a 13.007
_cell_length_b 13.007
_cell_length_c 13.007
_cell_angle_alpha 144.09
_cell_angle_beta 144.09
_cell_angle_gamma 51.70
_space_group_name_H-M_alt 'P 1'
_space_group_IT_number 1
loop_
_space_group_symop_operation_xyz
'x,y,z'
loop_
_atom_site_label
_atom_site_type_symbol
_atom_site_fract_x
_atom_site_fract_y
_atom_site_fract_z
Pr1 Pr 0.023 0.523 0.175
Pr2 Pr 0.106 0.106 0.000
Pr3 Pr 0.152 0.977 0.500
Pr4 Pr 0.348 0.848 0.825
Pr5 Pr 0.394 0.394 0.000
Pr6 Pr 0.477 0.652 0.500
Pr7 Pr 0.523 0.348 0.500
Pr8 Pr 0.606 0.606 0.000
Pr9 Pr 0.652 0.152 0.175
Pr10 Pr 0.848 0.023 0.500
Pr11 Pr 0.894 0.894 0.000
Pr12 Pr 0.977 0.477 0.825
Fe1 Fe 0.000 0.500 0.500
Fe2 Fe 0.020 0.293 0.500
Fe3 Fe 0.067 0.210 0.277
Fe4 Fe 0.120 0.620 0.857
Fe5 Fe 0.207 0.480 0.500
Fe6 Fe 0.210 0.933 0.144
Fe7 Fe 0.237 0.737 0.857
Fe8 Fe 0.263 0.120 0.500
Fe9 Fe 0.290 0.433 0.723
Fe10 Fe 0.293 0.793 0.274
Fe11 Fe 0.380 0.237 0.500
Fe12 Fe 0.433 0.710 0.144
Fe13 Fe 0.480 0.980 0.274
Fe14 Fe 0.500 0.000 0.500
Fe15 Fe 0.520 0.020 0.726
Fe16 Fe 0.567 0.290 0.856
Fe17 Fe 0.620 0.763 0.500
Fe18 Fe 0.707 0.207 0.726
Fe19 Fe 0.710 0.567 0.277
Fe20 Fe 0.737 0.880 0.500
Fe21 Fe 0.763 0.263 0.143
Fe22 Fe 0.790 0.067 0.856
Fe23 Fe 0.793 0.520 0.500
Fe24 Fe 0.880 0.380 0.143
Fe25 Fe 0.933 0.790 0.723
Fe26 Fe 0.980 0.707 0.500
Hg1 Hg 0.250 0.250 0.000
Hg2 Hg 0.750 0.750 0.000
# ΔH_f (0 K) = -3.3 kJ/mol of atoms

=====

[6]
# FeHgSbPt | OQMD | PBE | relaxed
data_FeHgSbPt
_cell_length_a 6.616
_cell_length_b 6.616
_cell_length_c 6.616
_cell_angle_alpha 90.00
_cell_angle_beta 90.00
_cell_angle_gamma 90.00
_space_group_name_H-M_alt 'P 1'
_space_group_IT_number 1
loop_
_space_group_symop_operation_xyz
'x,y,z'
loop_
_atom_site_label
_atom_site_type_symbol
_atom_site_fract_x
_atom_site_fract_y
_atom_site_fract_z
Fe1 Fe 0.000 0.000 0.000
Fe2 Fe 0.000 0.500 0.500
Fe3 Fe 0.500 0.000 0.500
Fe4 Fe 0.500 0.500 0.000
Hg1 Hg 0.250 0.250 0.250
Hg2 Hg 0.250 0.750 0.750
Hg3 Hg 0.750 0.250 0.750
Hg4 Hg 0.750 0.750 0.250
Sb1 Sb 0.250 0.250 0.750
Sb2 Sb 0.250 0.750 0.250
Sb3 Sb 0.750 0.250 0.250
Sb4 Sb 0.750 0.750 0.750
Pt1 Pt 0.000 0.000 0.500
Pt2 Pt 0.000 0.500 0.000
Pt3 Pt 0.500 0.000 0.000
Pt4 Pt 0.500 0.500 0.500
# offset from the most stable computed form = 0.000 eV per atom

=====

[7]
# ZnFeHgPt | OQMD | PBE | relaxed
data_ZnFeHgPt
_cell_length_a 6.358
_cell_length_b 6.358
_cell_length_c 6.358
_cell_angle_alpha 90.00
_cell_angle_beta 90.00
_cell_angle_gamma 90.00
_space_group_name_H-M_alt 'P 1'
_space_group_IT_number 1
loop_
_space_group_symop_operation_xyz
'x,y,z'
loop_
_atom_site_label
_atom_site_type_symbol
_atom_site_fract_x
_atom_site_fract_y
_atom_site_fract_z
Zn1 Zn 0.000 0.000 0.000
Zn2 Zn 0.000 0.500 0.500
Zn3 Zn 0.500 0.000 0.500
Zn4 Zn 0.500 0.500 0.000
Fe1 Fe 0.250 0.250 0.250
Fe2 Fe 0.250 0.750 0.750
Fe3 Fe 0.750 0.250 0.750
Fe4 Fe 0.750 0.750 0.250
Hg1 Hg 0.250 0.250 0.750
Hg2 Hg 0.250 0.750 0.250
Hg3 Hg 0.750 0.250 0.250
Hg4 Hg 0.750 0.750 0.750
Pt1 Pt 0.000 0.000 0.500
Pt2 Pt 0.000 0.500 0.000
Pt3 Pt 0.500 0.000 0.000
Pt4 Pt 0.500 0.500 0.500
# ΔH_f (0 K) = 11.3 kJ/mol of atoms

=====

[8]
DFT (PBE) results for an optimized crystal structure of Rb2FeHgSb2.

Structure (CIF):
```
data_Rb2FeHgSb2
_cell_length_a 4.718
_cell_length_b 4.718
_cell_length_c 11.412
_cell_angle_alpha 90.00
_cell_angle_beta 90.00
_cell_angle_gamma 120.00
_space_group_name_H-M_alt 'P 1'
_space_group_IT_number 1
loop_
_space_group_symop_operation_xyz
'x,y,z'
loop_
_atom_site_label
_atom_site_type_symbol
_atom_site_fract_x
_atom_site_fract_y
_atom_site_fract_z
Rb1 Rb 0.000 0.000 0.247
Rb2 Rb 0.000 0.000 0.753
Fe1 Fe 0.333 0.667 0.000
Hg1 Hg 0.667 0.333 0.500
Sb1 Sb 0.333 0.667 0.500
Sb2 Sb 0.667 0.333 0.000
```

=====

Number 1: raw total energy -3.782 eV per atom. Number 2: raw total energy -4.068 eV per atom. Number 3: raw total energy -4.057 eV per atom. Number 4: raw total energy -3.775 eV per atom. Number 5: raw total energy -6.882 eV per atom. Number 6: raw total energy -4.484 eV per atom. Number 7: raw total energy -3.864 eV per atom. Number 8: raw total energy -3.202 eV per atom.